# TaTl2Fe (meta-GGA SCAN, single point on PBEsol structure)
# Total magnetization: 1.175 μB per formula unit
# E_form: 0.946 eV per atom
# ρ: 14.312 g/cm³
data_TaTl2Fe
_chemical_formula_sum 'Ta4 Tl8 Fe4'
_cell_length_a 6.691
_cell_length_b 6.691
_cell_length_c 6.691
_cell_angle_alpha 90.00
_cell_angle_beta 90.00
_cell_angle_gamma 90.00
_symmetry_space_group_name_H-M 'F -4 3 m'
_symmetry_Int_Tables_number 216
_symmetry_space_group_name_Hall 'F -4 2 3'
loop_
_atom_site_label
_atom_site_type_symbol
_atom_site_fract_x
_atom_site_fract_y
_atom_site_fract_z
_atom_site_occupancy
Ta1 Ta 0.000 0.000 0.000 1
Tl1 Tl 0.000 0.000 0.500 1
Tl2 Tl 0.250 0.250 0.250 1
Fe1 Fe 0.250 0.250 0.750 1

***

# GaAg3B (meta-GGA SCAN, single point on PBEsol structure)
# Total magnetization: 0.000 μB per formula unit
# E_form: 0.524 eV per atom
# ρ: 8.259 g/cm³
data_GaAg3B
_chemical_formula_sum 'Ga1 Ag3 B1'
_cell_length_a 4.331
_cell_length_b 4.331
_cell_length_c 4.331
_cell_angle_alpha 90.00
_cell_angle_beta 90.00
_cell_angle_gamma 90.00
_symmetry_space_group_name_H-M 'P m -3 m'
_symmetry_Int_Tables_number 221
_symmetry_space_group_name_Hall '-P 4 2 3'
loop_
_atom_site_label
_atom_site_type_symbol
_atom_site_fract_x
_atom_site_fract_y
_atom_site_fract_z
_atom_site_occupancy
Ga1 Ga 0.000 0.000 0.000 1
Ag1 Ag 0.000 0.500 0.500 1
B1 B 0.500 0.500 0.500 1